# SbPOsI2 | Alexandria | GGA-PBE | relaxed
# Final energy ... -18.18 eV for the cell shown
# D(E_F) ... 1.1879 states/eV/atom
# Crystal system ... tetragonal
# Formation energy (no corrections) ... 1.137 eV/atom
data_SbPOsI2
_chemical_formula_sum 'Sb1 P1 Os1 I2'
_space_group_name_H-M_alt 'P 4/m m m'
_space_group_IT_number 123
_space_group_name_Hall '-P 4 2'
_cell_length_a 5.3660
_cell_length_b 5.3660
_cell_length_c 5.0841
_cell_angle_alpha 90.00
_cell_angle_beta 90.00
_cell_angle_gamma 90.00
loop_
_atom_site_label
_atom_site_fract_x
_atom_site_fract_y
_atom_site_fract_z
Sb1 0.0000 0.0000 0.0000
P1 0.5000 0.5000 0.0000
Os1 0.0000 0.0000 0.5000
I1 0.0000 0.5000 0.5000